No. 1
This record from the Alexandria database describes a relaxed NaTlZn2Rh crystal. The functional is PBE.

The space group is P4/mmm (No. 123) and the conventional cell measures 4.894, 4.894 and 5.193 Å, with angles of 90.00, 90.00 and 90.00 degrees. The asymmetric unit holds Na at (0.000, 0.000, 0.000), Tl at (0.500, 0.500, 0.000), Zn at (0.000, 0.500, 0.500) and Rh at (0.500, 0.500, 0.500).

The value obtained for the magnetic moment is 0.0 μB per formula unit. As for the formation energy from the elements: -0.050 eV per atom. The calculation puts the uncorrected energy at -13.84 eV/f.u.

***

No. 2
This record from the Alexandria database describes a relaxed MnNiBiPd crystal. The functional is PBE.

The space group is F-43m (No. 216) and the conventional cell measures 6.470, 6.470 and 6.470 Å, with angles of 90.00, 90.00 and 90.00 degrees. The asymmetric unit holds Mn at (0.000, 0.000, 0.000), Ni at (0.250, 0.250, 0.750), Bi at (0.000, 0.000, 0.500) and Pd at (0.250, 0.250, 0.250).

The value obtained for the magnetic moment is 4.5 μB per formula unit. As for the formation energy from the elements: 0.018 eV per atom. The calculation puts the uncorrected energy at -23.95 eV/f.u.

***

No. 3
This record from the Alexandria database describes a relaxed MgTlTc2 crystal. The functional is PBE.

The space group is Pmmm (No. 47) and the conventional cell measures 3.298, 4.487 and 4.612 Å, with angles of 90.00, 90.00 and 90.00 degrees. The asymmetric unit holds Mg at (0.000, 0.000, 0.000), Tl at (0.500, 0.500, 0.000), Tc at (0.000, 0.500, 0.500) and Tc at (0.500, 0.000, 0.500).

The calculation puts the distance to the lowest polymorph of the same formula at 357.8 meV/atom. The value obtained for the magnetic moment is 0.0 μB per formula unit. As for the formation energy from the elements: 0.523 eV per atom. The calculation puts the uncorrected energy at -22.60 eV/f.u.

***

No. 4
This record from the Alexandria database describes a relaxed BeTlCr crystal. The functional is PBE.

The space group is F-43m (No. 216) and the conventional cell measures 5.867, 5.867 and 5.867 Å, with angles of 90.00, 90.00 and 90.00 degrees. The asymmetric unit holds Be at (0.000, 0.000, 0.000), Tl at (0.250, 0.250, 0.250) and Cr at (0.250, 0.250, 0.750).

The calculation puts the distance to the lowest polymorph of the same formula at 0.0 meV/atom. The value obtained for the magnetic moment is 3.2 μB per formula unit. As for the formation energy from the elements: 0.591 eV per atom. The calculation puts the uncorrected energy at -13.94 eV/f.u.

***

No. 5
This record from the Alexandria database describes a relaxed Ca3HgAs2Pd9 crystal. The functional is PBE.

The space group is P-3m1 (No. 164) and the conventional cell measures 5.7965, 5.7965 and 11.2034 Å, with angles of 90.00, 90.00 and 120.00 degrees. The asymmetric unit holds Ca at (0.0000, 0.0000, 0.0000), Ca at (0.3333, 0.6667, 0.6070), Hg at (0.0000, 0.0000, 0.5000), As at (0.3333, 0.6667, 0.1574), Pd at (0.0000, 0.5000, 0.0000) and Pd at (0.1589, 0.3179, 0.3018).

The value obtained for the magnetic moment is 0.0 μB per formula unit. As for the formation energy from the elements: -0.468 eV per atom. The calculation puts the uncorrected energy at -69.36 eV/f.u.

***

No. 6
This record from the Alexandria database describes a relaxed CaPt2Se crystal. The functional is PBE.

The space group is F-43m (No. 216) and the conventional cell measures 6.721, 6.721 and 6.721 Å, with angles of 90.00, 90.00 and 90.00 degrees. The asymmetric unit holds Ca at (0.000, 0.000, 0.000), Pt at (0.000, 0.000, 0.500), Pt at (0.250, 0.250, 0.750) and Se at (0.250, 0.250, 0.250).

For the formation energy without anion corrections, the calculation gives -1.39 eV per formula unit. The value obtained for the magnetic moment is 0.0 μB per formula unit. The calculation puts the uncorrected energy at -18.96 eV/f.u.